DFT (PBEsol) results for a geometry-optimized LaSbPd structure.

Cell: 4.5902 4.5902 7.9907 Å, 90.00 90.00 120.00°
Last column: nearest neighbours and their distance in Å.
Space group P6_3mc (No. 186)
Unique sites:
La (0.0000, 0.0000, 0.0000) x2  6 Pd 3.16-3.50, 6 Sb 3.25-3.39
Sb (0.3333, 0.6667, 0.2639) x2  3 Pd 2.68
Pd (0.3333, 0.6667, 0.7146) x2  3 Sb 2.68

Calculated values
Raw formation energy: -26.4 kcal/mol of atoms



DFT (PBEsol) results for a geometry-optimized LaSb2Pd structure.

Cell: 4.4739 4.4739 9.9067 Å, 90.00 90.00 90.00°
Last column: nearest neighbours and their distance in Å.
Space group P4/nmm (No. 129, origin choice 2)
Unique sites:
La (0.2500, 0.2500, 0.2469) x2  8 Sb 3.31-3.36, 4 Pd 3.31
Sb (0.2500, 0.2500, 0.8508) x2  4 Pd 2.68
Sb (0.2500, 0.7500, 0.5000) x2  4 Sb 3.16, 4 La 3.36
Pd (0.2500, 0.7500, 0.0000) x2  4 Sb 2.68

Calculated values
Raw formation energy: -21.1 kcal/mol of atoms



DFT (PBEsol) results for a geometry-optimized LaSb3Pd structure.

Cell: 5.8687 5.8687 5.8687 Å, 90.00 90.00 90.00°
Last column: nearest neighbours and their distance in Å.
Space group Pm-3m (No. 221)
Unique sites:
La (0.0000, 0.0000, 0.0000) x1  6 Sb 2.93
Sb (0.0000, 0.0000, 0.5000) x3  2 La 2.93
Pd (0.5000, 0.5000, 0.5000) x1  12 Sb 4.15

Calculated values
Raw formation energy: 24.9 kcal/mol of atoms



DFT (PBEsol) results for a geometry-optimized LaSc2Pd2 structure.

Cell: 4.4048 4.4048 11.4896 Å, 90.00 90.00 90.00°
Last column: nearest neighbours and their distance in Å.
Space group I4/mmm (No. 139)
Unique sites:
La (0.0000, 0.0000, 0.0000) x2  8 Pd 3.38, 8 Sc 3.62
Sc (0.0000, 0.5000, 0.2500) x4  4 Pd 2.69
Pd (0.0000, 0.0000, 0.3849) x4  1 Pd 2.64, 4 Sc 2.69

Calculated values
Energy of formation: -0.62 eV per atom